1.
The following is a DFT calculation (GGA-PBE) of a relaxed structure of ZrNb2Ru.

a b c (Å): 3.272 4.546 5.587
angles (deg): 113.97 107.03 90.00
Element x y z (fractional)
Zr: 0.000 0.500 0.000
Nb: 0.760 0.761 0.521
Nb: 0.240 0.239 0.479
Ru: 0.500 0.000 0.000

## Properties
Energy relative to the elements, eV/atom: -0.28
Uncorrected energy, eV per atom: -9.769
Theoretical density, g/cm³: 8.73
Density of states at the Fermi level, states/eV/cell: 2.68
Space-group type: Immm
V, Å³ per atom: 17.985

2.
The following is a DFT calculation (GGA-PBE) of a relaxed structure of CaPmTl.

a b c (Å): 5.339 6.747 6.747
angles (deg): 88.86 90.00 90.00
Element x y z (fractional)
Tl: 0.000 0.000 0.000
Tl: 0.500 0.500 0.500
Ca: 0.000 0.684 0.684
Ca: 0.000 0.316 0.316
Pm: 0.500 0.177 0.823
Pm: 0.500 0.823 0.177

## Properties
Energy relative to the elements, eV/atom: 0.04
Uncorrected energy, eV per atom: -2.997
Theoretical density, g/cm³: 5.32
Density of states at the Fermi level, states/eV/cell: 5.45
Space-group type: Cmmm
V, Å³ per atom: 40.500
Polymorph energy (0 for the lowest one), eV/f.u.: 1.22